(1)
# Sm2Ga4NiRu3

A relaxed structure of Sm2Ga4NiRu3 (PBE, the Alexandria database).

Its total magnetization is 0.0 Bohr magnetons per cell. As for the space-group type: P-4m2, No. 115. The calculation puts the final energy at -5.956 eV/atom.

Cell lengths 4.184, 4.184, 10.375 Å; angles 90.00, 90.00, 90.00 degrees
Fractional coordinates of all 10 atoms:
Sm: 0.000 0.500 0.742
Sm: 0.500 0.000 0.258
Ga: 0.000 0.000 0.000
Ga: 0.000 0.500 0.376
Ga: 0.500 0.500 0.000
Ga: 0.500 0.000 0.624
Ru: 0.500 0.000 0.865
Ru: 0.000 0.000 0.500
Ru: 0.000 0.500 0.135
Ni: 0.500 0.500 0.500

---

(2)
# SmGaNiRu

A relaxed structure of SmGaNiRu (PBE, the Alexandria database).

Its total magnetization is 0.0 Bohr magnetons per cell. As for the space-group type: Amm2, No. 38. The calculation puts the final energy at -5.912 eV/atom.

Cell lengths 4.086, 3.762, 5.099 Å; angles 111.65, 90.00, 90.00 degrees
Fractional coordinates of all 4 atoms:
Sm: 0.500 0.208 0.417
Ni: 0.500 0.482 0.965
Ru: 0.000 0.622 0.243
Ga: 0.000 0.915 0.831

---

(3)
# SrGa4Ni2Ru

A relaxed structure of SrGa4Ni2Ru (PBE, the Alexandria database).

Its total magnetization is 0.0 Bohr magnetons per cell. As for the space-group type: R-3m, No. 166. The calculation puts the final energy at -4.714 eV/atom.

Cell lengths 4.130, 4.130, 9.782 Å; angles 77.81, 77.81, 60.00 degrees
Fractional coordinates of all 8 atoms:
Ru: 0.500 0.500 0.500
Ga: 0.591 0.591 0.227
Ga: 0.132 0.132 0.603
Ga: 0.868 0.868 0.397
Ga: 0.409 0.409 0.773
Ni: 0.226 0.226 0.321
Ni: 0.774 0.774 0.679
Sr: 0.000 0.000 0.000

---

(4)
# TaGaNiRu

A relaxed structure of TaGaNiRu (PBE, the Alexandria database).

Its total magnetization is 0.0 Bohr magnetons per cell. As for the space-group type: F-43m, No. 216. The calculation puts the final energy at -7.830 eV/atom. Its energy above the most stable polymorph in this dataset is 41 meV/atom.

Cell lengths 4.333, 4.333, 4.333 Å; angles 60.00, 60.00, 60.00 degrees
Fractional coordinates of all 4 atoms:
Ta: 0.250 0.250 0.250
Ru: 0.000 0.000 0.000
Ga: 0.750 0.750 0.750
Ni: 0.500 0.500 0.500

---

Q: Number 2 is which compound?
A: SmGaNiRu

---

Q: What is the formula in the fourth record?
A: TaGaNiRu